(1)
Material: Hg4C3
Method: DFT, GGA-PBE
State: relaxed

Properties
Energy above the most stable polymorph in this dataset ... 43 meV per atom
Energy ... -15.12 eV per formula unit
ΔH_f (0 K) ... 1.97 eV/atom
Calculated density ... 11.328 g/cm³

CIF file:
```
data_Hg4C3
_chemical_formula_sum 'Hg8 C6'
_symmetry_space_group_name_H-M 'I 4/m m m'
_symmetry_Int_Tables_number 139
_symmetry_space_group_name_Hall '-I 4 2'
_cell_length_a 3.252
_cell_length_b 3.252
_cell_length_c 23.245
_cell_angle_alpha 90.00
_cell_angle_beta 90.00
_cell_angle_gamma 90.00
loop_
_atom_site_label
_atom_site_type_symbol
_atom_site_fract_x
_atom_site_fract_y
_atom_site_fract_z
Hg1 Hg 0.000 0.000 0.063
Hg2 Hg 0.000 0.000 0.321
C1 C 0.000 0.000 0.162
C2 C 0.000 0.000 0.500
```


(2)
Material: Hg3C5
Method: DFT, GGA-PBE
State: relaxed

Properties
Energy above the most stable polymorph in this dataset ... 1295 meV per atom
Energy ... -26.88 eV per formula unit
ΔH_f (0 K) ... 2.52 eV/atom
Calculated density ... 11.019 g/cm³

CIF file:
```
data_Hg3C5
_chemical_formula_sum 'Hg3 C5'
_symmetry_space_group_name_H-M 'P 4/m m m'
_symmetry_Int_Tables_number 123
_symmetry_space_group_name_Hall '-P 4 2'
_cell_length_a 2.698
_cell_length_b 2.698
_cell_length_c 13.697
_cell_angle_alpha 90.00
_cell_angle_beta 90.00
_cell_angle_gamma 90.00
loop_
_atom_site_label
_atom_site_type_symbol
_atom_site_fract_x
_atom_site_fract_y
_atom_site_fract_z
Hg1 Hg 0.000 0.000 0.000
Hg2 Hg 0.500 0.500 0.360
C1 C 0.000 0.000 0.165
C2 C 0.000 0.000 0.500
C3 C 0.500 0.500 0.192
```


(3)
Material: Hg5C
Method: DFT, GGA-PBE
State: relaxed

Properties
Energy above the most stable polymorph in this dataset ... 0 meV per atom
Energy ... -6.57 eV per formula unit
ΔH_f (0 K) ... 0.69 eV/atom
Calculated density ... 9.709 g/cm³

CIF file:
```
data_Hg5C
_chemical_formula_sum 'Hg10 C2'
_symmetry_space_group_name_H-M 'C 1 m 1'
_symmetry_Int_Tables_number 8
_cell_length_a 10.710
_cell_length_b 4.111
_cell_length_c 8.633
_cell_angle_alpha 90.00
_cell_angle_beta 114.01
_cell_angle_gamma 90.00
loop_
_symmetry_equiv_pos_as_xyz
'x,y,z'
'x,-y,z'
'x+1/2,y+1/2,z'
'x+1/2,-y+1/2,z'
loop_
_atom_site_label
_atom_site_type_symbol
_atom_site_fract_x
_atom_site_fract_y
_atom_site_fract_z
Hg1 Hg 0.000 0.000 0.000
Hg2 Hg 0.003 0.500 0.685
Hg3 Hg 0.236 0.500 0.560
Hg4 Hg 0.260 0.500 0.188
Hg5 Hg 0.490 0.000 0.260
C1 C 0.462 0.500 0.720
```


Number 1: D(E_F) 0.359 states/eV per atom. Number 2: D(E_F) 0.667 states/eV per atom. Number 3: D(E_F) 0.295 states/eV per atom.